[1]
A plane-wave DFT calculation with PBE was carried out for KScCr2 after structural relaxation.

Geometry as POSCAR:
```
KScCr2
1.0
-4.710 1.778 0.005
-1.649 -4.352 1.921
3.662 2.556 2.325
Cr K Sc
2 1 1
Direct
0.000 0.000 0.000
0.250 0.750 0.500
0.500 0.500 0.000
0.750 0.250 0.500
```

As for the energy above the most stable polymorph in this dataset: 491 meV per atom. The calculation puts the final energy at -5.614 eV per atom. Its energy of formation is 1.055 eV per atom.

[2]
A plane-wave DFT calculation with PBE was carried out for K3ScCr2Se6 after structural relaxation.

Geometry as POSCAR:
```
K3ScCr2Se6
1.0
-2.468 -0.388 -6.270
4.394 -4.634 2.186
-6.350 -2.553 3.871
K Sc Cr Se
3 1 2 6
Direct
0.163 0.837 0.500
0.837 0.163 0.500
0.500 0.500 0.500
0.000 0.000 0.000
0.333 0.667 0.000
0.667 0.333 0.000
0.938 0.590 0.815
0.714 0.714 0.184
0.062 0.410 0.185
0.590 0.938 0.815
0.286 0.286 0.816
0.410 0.062 0.185
```

The calculation puts the energy relative to the elements, uncorrected at -1075 meV per atom. The calculation puts the final energy at -5.223 eV per atom.

[3]
A plane-wave DFT calculation with PBE was carried out for K3Sc3CrSe8 after structural relaxation.

Geometry as POSCAR:
```
K3Sc3CrSe8
1.0
-3.111 -6.831 1.779
3.257 4.315 5.522
-8.074 2.913 -2.935
K Sc Cr Se
3 3 1 8
Direct
0.000 0.000 0.000
0.000 0.500 0.000
0.500 0.500 0.000
0.500 0.000 0.500
0.500 0.500 0.500
0.000 0.500 0.500
0.000 0.000 0.500
0.268 0.535 0.303
0.732 0.465 0.697
0.778 0.556 0.312
0.222 0.444 0.688
0.778 0.034 0.312
0.222 0.966 0.688
0.256 0.034 0.312
0.744 0.966 0.688
```

The calculation puts the energy relative to the elements, uncorrected at -1356 meV per atom. The calculation puts the final energy at -5.342 eV per atom.

[4]
A plane-wave DFT calculation with PBE was carried out for K3Sc3CrTe8 after structural relaxation.

Geometry as POSCAR:
```
K3Sc3CrTe8
1.0
8.265 0.002 0.001
-4.131 7.155 -0.033
0.000 -4.733 8.566
K Sc Cr Te
3 3 1 8
Direct
0.000 0.000 0.000
0.000 0.500 0.000
0.500 0.500 0.000
0.500 0.000 0.500
0.500 0.500 0.500
0.000 0.500 0.500
0.000 0.000 0.500
0.267 0.533 0.300
0.733 0.467 0.700
0.777 0.553 0.309
0.223 0.447 0.691
0.777 0.033 0.309
0.223 0.967 0.691
0.256 0.033 0.309
0.744 0.967 0.691
```

The calculation puts the energy relative to the elements, uncorrected at -1012 meV per atom. The calculation puts the final energy at -4.815 eV per atom.

[5]
A plane-wave DFT calculation with PBE was carried out for K2ScCrTe after structural relaxation.

Geometry as POSCAR:
```
K2ScCrTe
1.0
5.936 0.000 0.000
0.000 5.195 0.000
0.000 0.000 5.936
Sc Cr K Te
1 1 2 1
Direct
0.000 0.500 0.000
0.000 0.000 0.000
0.000 0.000 0.500
0.500 0.000 0.000
0.500 0.500 0.500
```

The calculation puts the energy relative to the elements, uncorrected at 596 meV per atom. The calculation puts the final energy at -3.662 eV per atom.

[6]
A plane-wave DFT calculation with PBE was carried out for K3Sc2CrTe6 after structural relaxation.

Geometry as POSCAR:
```
K3Sc2CrTe6
1.0
7.362 -0.002 -0.002
-3.681 6.376 -0.002
-1.229 -2.128 8.160
K Sc Cr Te
3 2 1 6
Direct
0.171 0.829 0.500
0.829 0.171 0.500
0.500 0.500 0.500
0.334 0.666 0.000
0.666 0.334 0.000
0.000 0.000 0.000
0.936 0.617 0.808
0.746 0.746 0.193
0.064 0.383 0.192
0.617 0.936 0.808
0.254 0.254 0.807
0.383 0.064 0.192
```

The calculation puts the energy relative to the elements, uncorrected at -1004 meV per atom. The calculation puts the final energy at -4.706 eV per atom.

[7]
A plane-wave DFT calculation with PBE was carried out for K2CrSe2 after structural relaxation.

Geometry as POSCAR:
```
K2CrSe2
1.0
6.029 0.000 -2.592
-1.325 6.104 -3.082
-0.007 0.211 8.291
K Cr Se
4 2 4
Direct
0.854 0.688 0.709
0.146 0.312 0.291
0.646 0.980 0.291
0.354 0.020 0.709
0.750 0.500 0.000
0.250 0.500 0.000
0.393 0.576 0.786
0.607 0.424 0.214
0.107 0.790 0.214
0.893 0.210 0.786
```

The calculation puts the energy relative to the elements, uncorrected at -815 meV per atom. The calculation puts the final energy at -4.573 eV per atom.

[8]
A plane-wave DFT calculation with PBE was carried out for K2Cr3Se6 after structural relaxation.

Geometry as POSCAR:
```
K2Cr3Se6
1.0
6.132 0.000 1.827
3.066 5.541 0.914
-0.182 0.000 8.084
K Cr Se
2 3 6
Direct
0.167 0.667 0.500
0.833 0.333 0.500
0.000 0.000 0.000
0.333 0.334 0.000
0.667 0.666 0.000
0.393 0.669 0.822
0.724 0.000 0.822
0.061 0.331 0.822
0.276 0.000 0.178
0.607 0.331 0.178
0.939 0.669 0.178
```

The calculation puts the energy relative to the elements, uncorrected at -760 meV per atom. The calculation puts the final energy at -5.485 eV per atom.

[9]
A plane-wave DFT calculation with PBE was carried out for KCr2Se after structural relaxation.

Geometry as POSCAR:
```
KCr2Se
1.0
9.697 -0.372 -0.218
9.132 3.283 -0.218
9.132 1.412 2.972
Cr K Se
2 1 1
Direct
0.029 0.029 0.029
0.471 0.471 0.471
0.250 0.250 0.250
0.750 0.750 0.750
```

The calculation puts the energy relative to the elements, uncorrected at 584 meV per atom. The calculation puts the final energy at -5.374 eV per atom.

[10]
A plane-wave DFT calculation with PBE was carried out for KCrSe4 after structural relaxation.

Geometry as POSCAR:
```
KCrSe4
1.0
-2.021 -5.396 -0.236
5.510 -2.323 5.914
-7.489 2.668 2.045
K Cr Se
2 2 8
Direct
0.787 0.833 0.666
0.213 0.167 0.334
0.253 0.498 0.996
0.747 0.502 0.004
0.297 0.674 0.347
0.390 0.185 0.753
0.000 0.262 0.000
0.610 0.432 0.247
0.703 0.326 0.653
0.610 0.815 0.247
0.000 0.738 0.000
0.390 0.568 0.753
```

The calculation puts the energy relative to the elements, uncorrected at -407 meV per atom. As for the energy above the most stable polymorph in this dataset: 0 meV per atom. The calculation puts the final energy at -4.517 eV per atom.

[11]
A plane-wave DFT calculation with PBE was carried out for KCr2Se after structural relaxation.

Geometry as POSCAR:
```
KCr2Se
1.0
-4.227 2.745 -2.751
-5.085 -0.607 2.597
5.227 1.544 1.806
Cr K Se
2 1 1
Direct
0.000 0.000 0.000
0.500 0.500 0.000
0.250 0.750 0.500
0.750 0.250 0.500
```

The calculation puts the energy relative to the elements, uncorrected at 727 meV per atom. The calculation puts the final energy at -5.230 eV per atom.

[12]
A plane-wave DFT calculation with PBE was carried out for KCr2Se after structural relaxation.

Geometry as POSCAR:
```
KCr2Se
1.0
4.288 0.000 0.000
0.000 5.271 -0.116
0.000 0.474 5.754
Cr K Se
2 1 1
Direct
0.000 0.758 0.000
0.000 0.742 0.500
0.500 0.250 0.250
0.500 0.750 0.750
```

The calculation puts the energy relative to the elements, uncorrected at 489 meV per atom. The calculation puts the final energy at -5.469 eV per atom.

Which of these has the lowest final energy? KScCr2

Look up the final energy of the first one. -5.614 eV per atom